BaLaNbN3 | PBE | relaxed

Cell: 4.133 7.371 7.842 Å, 104.96 90.00 106.28°
Fractional positions:
La (0.344, 0.688, 0.421)
La (0.656, 0.312, 0.579)
N (0.845, 0.689, 0.657)
Nb (0.998, 0.997, 0.703)
Nb (0.002, 0.003, 0.297)
N (0.504, 0.009, 0.315)
Ba (0.648, 0.295, 0.075)
N (0.155, 0.311, 0.343)
N (0.496, 0.991, 0.685)
N (0.146, 0.292, 0.804)
N (0.854, 0.708, 0.196)
Ba (0.352, 0.705, 0.925)

Values from the calculation:
E_tot (eV per atom): -7.90


BaLa2NpN4 | PBE | relaxed

Cell: 3.798 6.776 13.066 Å, 90.00 90.00 106.27°
Last column: magnetic moment on the atom in μB.
Fractional positions:
N (0.258, 0.516, 0.382)  -0.08
Np (0.162, 0.324, 0.250)  2.86
La (0.628, 0.255, 0.469)  0.05
N (0.000, 0.000, 0.000)  -0.02
N (0.742, 0.484, 0.618)  -0.08
N (0.000, 0.000, 0.500)  -0.02
N (0.425, 0.850, 0.750)  -0.11
La (0.372, 0.745, 0.969)  0.05
N (0.742, 0.484, 0.882)  -0.08
La (0.628, 0.255, 0.031)  0.05
Np (0.838, 0.676, 0.750)  2.86
Ba (0.894, 0.788, 0.250)  0.05
N (0.575, 0.150, 0.250)  -0.11
Ba (0.106, 0.212, 0.750)  0.05
N (0.258, 0.516, 0.118)  -0.08
La (0.372, 0.745, 0.531)  0.05

Values from the calculation:
E_tot (eV per atom): -8.21